NaCa3Tc | GGA-PBEsol | optimized geometry

Volume, Å³ per atom: 34.78
Crystal system: cubic
Electronic total energy, eV/atom: -2.41
Spin magnetization, Bohr magnetons per cell: 2.53

```
NaCa3Tc
1.0
5.5818 0.0000 0.0000
0.0000 5.5818 0.0000
0.0000 0.0000 5.5818
Ca Na Tc
3 1 1
Cartesian
2.7909 0.0000 0.0000 Ca
0.0000 2.7909 0.0000 Ca
0.0000 0.0000 2.7909 Ca
0.0000 0.0000 0.0000 Na
2.7909 2.7909 2.7909 Tc
```